Record 1
The following is a GGA-PBE calculation of PmNd2PaN4 after structural relaxation, from Alexandria via LeMat-Bulk.

a b c (Å): 3.604 6.211 6.232
angles (deg): 109.16 90.00 90.00
Sites, in units of the cell vectors:
Nd 0.500 0.000 0.500
N 0.500 0.775 0.778
Pa 0.000 0.000 0.000
N 0.500 0.225 0.222
N 0.000 0.234 0.771
N 0.000 0.766 0.229
Nd 0.000 0.500 0.500
Pm 0.500 0.500 0.000

For the uncorrected formation energy, the calculation gives -1.521 eV/atom. The space group is P2/m (10).

Record 2
The following is a GGA-PBE calculation of V3ZnPb after structural relaxation, from Alexandria via LeMat-Bulk.

a b c (Å): 4.526 4.526 4.526
angles (deg): 90.00 90.00 90.00
Site moments in Bohr magnetons follow the coordinates.
Sites, in units of the cell vectors:
Pb 0.500 0.500 0.500  -0.02
V 0.500 0.000 0.000  0.29
V 0.000 0.500 0.000  0.29
V 0.000 0.000 0.500  0.29
Zn 0.000 0.000 0.000  0.01

The space group is Pm-3m (221). The formation energy is 5.31 eV per formula unit. For the energy above the lowest structure with this stoichiometry, the calculation gives 0.00 eV per formula unit.

Record 3
The following is a GGA-PBE calculation of NaGaO3 after structural relaxation, from Alexandria via LeMat-Bulk.

a b c (Å): 3.852 3.852 3.852
angles (deg): 90.00 90.00 90.00
Site moments in Bohr magnetons follow the coordinates.
Sites, in units of the cell vectors:
Ga 0.000 0.000 0.000  -0.03
O 0.000 0.500 0.000  0.65
Na 0.500 0.500 0.500  -0.01
O 0.000 0.000 0.500  0.45
O 0.500 0.000 0.000  0.61

For the uncorrected formation energy, the calculation gives -1.001 eV/atom. The space group is Pm-3m (221).

Record 4
The following is a GGA-PBE calculation of Sm2Er3Al4 after structural relaxation, from Alexandria via LeMat-Bulk.

a b c (Å): 6.248 7.691 10.175
angles (deg): 90.00 107.88 90.00
Sites, in units of the cell vectors:
Er 0.999 0.250 0.497
Er 0.000 0.000 0.000
Sm 0.589 0.897 0.178
Al 0.348 0.492 0.695
Er 0.501 0.750 0.503
Al 0.652 0.508 0.305
Er 0.500 0.500 0.000
Al 0.664 0.750 0.828
Al 0.152 0.992 0.305
Al 0.848 0.008 0.695
Er 0.499 0.250 0.497
Al 0.336 0.250 0.172
Sm 0.089 0.603 0.178
Sm 0.411 0.103 0.822
Er 0.001 0.750 0.503
Al 0.164 0.750 0.828
Al 0.836 0.250 0.172
Sm 0.911 0.397 0.822

The space group is Cmce (64). The formation energy is -1.90 eV per formula unit.

no.,final energy (eV for the cell shown)
1,-69.25
2,-27.03
3,-24.23
4,-79.99